Material: NaGeSbTe2
Method: DFT, GGA-PBEsol
State: optimized geometry

Cell lengths 5.5682, 5.5682, 5.1691 Å; angles 90.00, 90.00, 90.00 degrees
Atoms (fractional coordinates):
Na1 0.0000 0.0000 0.0000
Ge1 0.5000 0.5000 0.5000
Sb1 0.5000 0.5000 0.0000
Te1 0.0000 0.5000 0.5000
Te2 0.5000 0.0000 0.5000

Volume in Å³/f.u.: 160.3
Formation energy (no corrections) in meV/atom: 174
N(E_F) in states/eV/cell: 4.4
Total magnetic moment in μB/cell: 0.0
Crystal system: tetragonal
Space-group type: P4/mmm (123)

Material: NaGeSb2Te
Method: DFT, GGA-PBEsol
State: optimized geometry

Cell lengths 5.2393, 5.2393, 5.3946 Å; angles 90.00, 90.00, 90.00 degrees
Atoms (fractional coordinates):
Na1 0.0000 0.0000 0.0000
Ge1 0.5000 0.5000 0.5000
Sb1 0.0000 0.5000 0.0000
Sb2 0.5000 0.0000 0.0000
Te1 0.0000 0.0000 0.5000

Volume in Å³/f.u.: 148.1
Formation energy (no corrections) in meV/atom: 903
N(E_F) in states/eV/cell: 5.0
Total magnetic moment in μB/cell: 0.0
Crystal system: tetragonal
Space-group type: P4/mmm (123)

Material: NaGeSbTe2
Method: DFT, GGA-PBEsol
State: optimized geometry

Cell lengths 5.3962, 5.3962, 5.1734 Å; angles 90.00, 90.00, 90.00 degrees
Atoms (fractional coordinates):
Na1 0.0000 0.0000 0.0000
Ge1 0.5000 0.5000 0.5000
Sb1 0.0000 0.0000 0.5000
Te1 0.0000 0.5000 0.0000
Te2 0.5000 0.0000 0.0000

Volume in Å³/f.u.: 150.6
Formation energy (no corrections) in meV/atom: 815
N(E_F) in states/eV/cell: 5.2
Total magnetic moment in μB/cell: 0.0
Crystal system: tetragonal
Space-group type: P4/mmm (123)

Material: NaTiGeSb2
Method: DFT, GGA-PBEsol
State: optimized geometry

Cell lengths 5.4220, 5.4220, 4.8056 Å; angles 90.00, 90.00, 90.00 degrees
Atoms (fractional coordinates):
Na1 0.0000 0.0000 0.0000
Ti1 0.5000 0.5000 0.0000
Ge1 0.5000 0.5000 0.5000
Sb1 0.0000 0.5000 0.5000
Sb2 0.5000 0.0000 0.5000

Volume in Å³/f.u.: 141.3
Formation energy (no corrections) in meV/atom: 429
N(E_F) in states/eV/cell: 5.8
Total magnetic moment in μB/cell: 1.2
Crystal system: tetragonal
Space-group type: P4/mmm (123)

Material: NaScGe3
Method: DFT, GGA-PBEsol
State: optimized geometry

Cell lengths 5.0904, 5.0904, 5.0904 Å; angles 90.00, 90.00, 90.00 degrees
Atoms (fractional coordinates):
Na1 0.0000 0.0000 0.0000
Sc1 0.5000 0.5000 0.5000
Ge1 0.0000 0.5000 0.5000
Ge2 0.5000 0.0000 0.5000
Ge3 0.5000 0.5000 0.0000

Volume in Å³/f.u.: 131.9
N(E_F) in states/eV/cell: 2.5
Total magnetic moment in μB/cell: 0.0
Crystal system: cubic
Space-group type: Pm-3m (221)
Energy of formation in eV per atom: 0.236

Material: Na6Ge2Se7
Method: DFT, GGA-PBEsol
State: optimized geometry

Cell lengths 7.1706, 7.1706, 15.7222 Å; angles 98.84, 98.84, 99.14 degrees
Atoms (fractional coordinates):
Na1 0.0000 0.0000 0.0000
Na2 0.0000 0.0000 0.5000
Na3 0.0044 0.4461 0.8595
Na4 0.0837 0.9163 0.7500
Na5 0.2336 0.5230 0.4244
Na6 0.4461 0.0044 0.3595
Na7 0.4770 0.7664 0.0756
Na8 0.5230 0.2336 0.9244
Na9 0.5539 0.9956 0.6405
Na10 0.7664 0.4770 0.5756
Na11 0.9163 0.0837 0.2500
Na12 0.9956 0.5539 0.1405
Ge1 0.2595 0.4240 0.6384
Ge2 0.4240 0.2595 0.1384
Ge3 0.5760 0.7405 0.8616
Ge4 0.7405 0.5760 0.3616
Se1 0.0072 0.7517 0.3200
Se2 0.1898 0.7127 0.6017
Se3 0.2370 0.3740 0.0274
Se4 0.2483 0.9928 0.1800
Se5 0.2873 0.8102 0.8983
Se6 0.3740 0.2370 0.5274
Se7 0.4598 0.5402 0.2500
Se8 0.5402 0.4598 0.7500
Se9 0.6260 0.7630 0.4726
Se10 0.7127 0.1898 0.1017
Se11 0.7517 0.0072 0.8200
Se12 0.7630 0.6260 0.9726
Se13 0.8102 0.2873 0.3983
Se14 0.9928 0.2483 0.6800

Volume in Å³/f.u.: 387.7
Formation energy (no corrections) in meV/atom: -822
N(E_F) in states/eV/cell: 0.0
Total magnetic moment in μB/cell: 0.0
Crystal system: monoclinic
Space-group type: C2/c (15)

Material: Na9SmGe4Se12
Method: DFT, GGA-PBEsol
State: optimized geometry

Cell lengths 9.2881, 9.2881, 7.8672 Å; angles 101.64, 101.64, 82.10 degrees
Atoms (fractional coordinates):
Na1 0.0000 0.0000 0.0000
Na2 0.0879 0.4006 0.2490
Na3 0.2817 0.2076 0.7452
Na4 0.4366 0.0732 0.2579
Na5 0.5100 0.4900 0.5000
Na6 0.5994 0.9121 0.7510
Na7 0.7924 0.7183 0.2548
Na8 0.8653 0.1347 0.5000
Na9 0.9268 0.5634 0.7421
Sm1 0.3646 0.6354 0.0000
Ge1 0.1543 0.7833 0.6312
Ge2 0.2167 0.8457 0.3688
Ge3 0.6640 0.2808 0.1337
Ge4 0.7192 0.3360 0.8663
Se1 0.0830 0.6918 0.1248
Se2 0.1533 0.0988 0.3749
Se3 0.2230 0.5268 0.6365
Se4 0.3082 0.9170 0.8752
Se5 0.4012 0.3513 0.1135
Se6 0.4732 0.7770 0.3635
Se7 0.5705 0.2005 0.6282
Se8 0.6487 0.5988 0.8865
Se9 0.7127 0.0248 0.1259
Se10 0.7995 0.4295 0.3718
Se11 0.9012 0.8467 0.6251
Se12 0.9752 0.2873 0.8741

Volume in Å³/f.u.: 647.7
Formation energy (no corrections) in meV/atom: -927
N(E_F) in states/eV/cell: 0.0
Total magnetic moment in μB/cell: 0.0
Crystal system: monoclinic
Space-group type: C2 (5)

Material: Na6Sm4Ge4Se17
Method: DFT, GGA-PBEsol
State: optimized geometry

Cell lengths 12.4585, 12.4585, 6.8623 Å; angles 101.94, 101.94, 52.06 degrees
Atoms (fractional coordinates):
Na1 0.0066 0.0066 0.2437
Na2 0.2319 0.5789 0.7004
Na3 0.2385 0.5747 0.1602
Na4 0.4211 0.7681 0.2996
Na5 0.4253 0.7615 0.8398
Na6 0.9934 0.9934 0.7563
Sm1 0.1658 0.2221 0.4291
Sm2 0.5064 0.1243 0.0826
Sm3 0.7779 0.8342 0.5709
Sm4 0.8757 0.4936 0.9174
Ge1 0.1895 0.1150 0.8914
Ge2 0.4900 0.2181 0.6226
Ge3 0.7819 0.5100 0.3774
Ge4 0.8850 0.8105 0.1086
Se1 0.0166 0.7901 0.4223
Se2 0.1813 0.3067 0.8643
Se3 0.2099 0.9834 0.5777
Se4 0.2190 0.7810 0.0000
Se5 0.3062 0.3443 0.3751
Se6 0.3694 0.0045 0.1466
Se7 0.4781 0.3465 0.9279
Se8 0.4813 0.0350 0.6477
Se9 0.6535 0.5219 0.0721
Se10 0.6557 0.6938 0.6249
Se11 0.6873 0.1063 0.4585
Se12 0.6933 0.8187 0.1357
Se13 0.7837 0.0098 0.9548
Se14 0.8937 0.3127 0.5415
Se15 0.9650 0.5187 0.3523
Se16 0.9902 0.2163 0.0452
Se17 0.9955 0.6306 0.8534

Volume in Å³/f.u.: 817.4
Formation energy (no corrections) in meV/atom: -1050
Total magnetic moment in μB/cell: 0.0
Crystal system: monoclinic
Space-group type: C2 (5)